PmPr2Y2Tm2 | PBE | relaxed

Calculated values
energy of formation from the pure elements = 0.085 eV/atom
space-group type = No. 12
crystal system = monoclinic

Lattice parameters (Å, degrees): 11.797 3.535 11.893 90.00 108.68 90.00
Sites, in units of the cell vectors:
Pm (0.000, 0.000, 0.000)
Pm (0.500, 0.500, 0.000)
Pr (0.172, 0.500, 0.585)
Pr (0.328, 0.000, 0.415)
Pr (0.672, 0.000, 0.585)
Pr (0.828, 0.500, 0.415)
Y (0.048, 0.500, 0.270)
Y (0.452, 0.000, 0.730)
Y (0.548, 0.000, 0.270)
Y (0.952, 0.500, 0.730)
Tm (0.227, 0.000, 0.866)
Tm (0.273, 0.500, 0.134)
Tm (0.727, 0.500, 0.866)
Tm (0.773, 0.000, 0.134)